1.
This record from OQMD via LeMat-Bulk describes crystalline Rb2ZnSe2 at its relaxed geometry. The functional is PBE.

The structure in POSCAR format:
```
Rb2ZnSe2
1.0
6.6600 0.0000 0.0000
0.0000 6.6600 0.0000
0.0000 0.0000 12.9416
Rb Zn Se
4 2 4
Cartesian
0.0000 3.3300 3.2354
0.0000 3.3300 9.7062
3.3300 0.0000 3.2354
3.3300 0.0000 9.7062
0.0000 0.0000 0.0000
3.3300 3.3300 6.4708
0.0000 0.0000 2.2517
0.0000 0.0000 10.6899
3.3300 3.3300 4.2191
3.3300 3.3300 8.7225
```

Results
Space group: I4/mmm (139)
Crystal system: tetragonal
Calculated volume (A^3/atom): 57.40
Uncorrected energy (eV per cell): -29.64



2.
This record from OQMD via LeMat-Bulk describes crystalline RbZrSe2 at its relaxed geometry. The functional is PBE.

The structure in POSCAR format:
```
RbZrSe2
1.0
6.2069 0.0000 0.0000
-1.6893 7.2450 0.0000
-1.6922 -3.4191 6.3891
Rb Zr Se
2 2 4
Cartesian
0.7007 2.1053 0.9136
2.1247 1.7206 5.4755
-0.9848 5.4749 3.2309
3.8102 -1.6489 3.1582
-0.7704 0.3185 3.8054
0.4918 5.9657 1.1221
2.3335 -2.1398 5.2670
3.5958 3.5074 2.5837
```

Results
Space group: P-1 (2)
Crystal system: triclinic
Calculated volume (A^3/atom): 35.91
Uncorrected energy (eV per cell): -42.38



3.
This record from OQMD via LeMat-Bulk describes crystalline RbSmSi at its relaxed geometry. The functional is PBE.

The structure in POSCAR format:
```
RbSmSi
1.0
7.5135 0.0000 0.0000
0.0000 7.5135 0.0000
0.0000 0.0000 7.5135
Rb Sm Si
4 4 4
Cartesian
0.0000 0.0000 0.0000
0.0000 3.7567 3.7567
3.7567 0.0000 3.7567
3.7567 3.7567 0.0000
0.0000 0.0000 3.7567
0.0000 3.7567 0.0000
3.7567 0.0000 0.0000
3.7567 3.7567 3.7567
1.8784 1.8784 1.8784
1.8784 5.6351 5.6351
5.6351 1.8784 5.6351
5.6351 5.6351 1.8784
```

Results
Space group: F-43m (216)
Crystal system: cubic
Calculated volume (A^3/atom): 35.35
Energy above the lowest structure with this stoichiometry (meV per atom): 0.0
Uncorrected energy (eV per cell): -41.13



4.
This record from OQMD via LeMat-Bulk describes crystalline RbSmSiTe3 at its relaxed geometry. The functional is PBE.

The structure in POSCAR format:
```
RbSmSiTe3
1.0
2.4242 -7.7788 0.0000
2.4242 7.7788 0.0000
0.0000 0.0000 12.1471
Rb Sm Si Te
2 2 2 6
Cartesian
2.4242 3.9173 9.1103
2.4242 -3.9173 3.0368
2.4242 0.0000 0.0000
2.4242 0.0000 6.0735
2.4242 7.2800 3.0368
2.4242 -7.2800 9.1103
2.4242 5.8005 0.7162
2.4242 5.8005 5.3573
2.4242 0.8585 3.0368
2.4242 -0.8585 9.1103
2.4242 -5.8005 6.7898
2.4242 -5.8005 11.4309
```

Results
Space group: Cmcm (63)
Crystal system: orthorhombic
Calculated volume (A^3/atom): 38.18
Uncorrected energy (eV per cell): -50.17



5.
This record from OQMD via LeMat-Bulk describes crystalline RbTaSi at its relaxed geometry. The functional is PBE.

The structure in POSCAR format:
```
RbTaSi
1.0
7.0453 0.0000 0.0000
0.0000 7.0453 0.0000
0.0000 0.0000 7.0453
Rb Ta Si
4 4 4
Cartesian
0.0000 0.0000 0.0000
0.0000 3.5226 3.5226
3.5226 0.0000 3.5226
3.5226 3.5226 0.0000
1.7613 1.7613 1.7613
1.7613 5.2840 5.2840
5.2840 1.7613 5.2840
5.2840 5.2840 1.7613
1.7613 1.7613 5.2840
1.7613 5.2840 1.7613
5.2840 1.7613 1.7613
5.2840 5.2840 5.2840
```

Results
Space group: F-43m (216)
Crystal system: cubic
Calculated volume (A^3/atom): 29.14
Energy above the lowest structure with this stoichiometry (meV per atom): 1045.8
Uncorrected energy (eV per cell): -41.42



6.
This record from OQMD via LeMat-Bulk describes crystalline RbTaSi at its relaxed geometry. The functional is PBE.

The structure in POSCAR format:
```
RbTaSi
1.0
6.8816 0.0000 0.0000
0.0000 6.8816 0.0000
0.0000 0.0000 6.8816
Rb Ta Si
4 4 4
Cartesian
0.0000 0.0000 0.0000
0.0000 3.4408 3.4408
3.4408 0.0000 3.4408
3.4408 3.4408 0.0000
0.0000 0.0000 3.4408
0.0000 3.4408 0.0000
3.4408 0.0000 0.0000
3.4408 3.4408 3.4408
1.7204 1.7204 1.7204
1.7204 5.1612 5.1612
5.1612 1.7204 5.1612
5.1612 5.1612 1.7204
```

Results
Space group: F-43m (216)
Crystal system: cubic
Calculated volume (A^3/atom): 27.16
Energy above the lowest structure with this stoichiometry (meV per atom): 0.0
Uncorrected energy (eV per cell): -53.97



7.
This record from OQMD via LeMat-Bulk describes crystalline RbTbSi at its relaxed geometry. The functional is PBE.

The structure in POSCAR format:
```
RbTbSi
1.0
7.4624 0.0000 0.0000
0.0000 7.4624 0.0000
0.0000 0.0000 7.4624
Rb Tb Si
4 4 4
Cartesian
0.0000 0.0000 0.0000
0.0000 3.7312 3.7312
3.7312 0.0000 3.7312
3.7312 3.7312 0.0000
0.0000 0.0000 3.7312
0.0000 3.7312 0.0000
3.7312 0.0000 0.0000
3.7312 3.7312 3.7312
1.8656 1.8656 1.8656
1.8656 5.5968 5.5968
5.5968 1.8656 5.5968
5.5968 5.5968 1.8656
```

Results
Space group: F-43m (216)
Crystal system: cubic
Calculated volume (A^3/atom): 34.63
Uncorrected energy (eV per cell): -40.27



8.
This record from OQMD via LeMat-Bulk describes crystalline Rb4SiTcTe6 at its relaxed geometry. The functional is PBE.

The structure in POSCAR format:
```
Rb4SiTcTe6
1.0
7.5119 0.0000 0.0000
3.0774 7.3718 0.0000
3.1856 1.9795 9.2439
Rb Si Tc Te
4 1 1 6
Cartesian
0.0000 0.0000 0.0000
3.4425 3.0284 1.9813
7.1614 6.2763 4.1153
7.5315 1.7217 6.0031
10.9375 4.8006 5.9359
7.1708 4.3875 0.1361
4.8708 5.8599 7.8847
3.7872 2.3352 5.6231
6.8089 6.8820 0.4295
8.8991 5.3358 7.5239
7.1630 2.9786 2.2412
10.9474 6.1836 3.8407
```

Results
Space group: P1 (1)
Crystal system: triclinic
Calculated volume (A^3/atom): 42.66
Uncorrected energy (eV per cell): -45.49